Entry from Alexandria via LeMat-Bulk: crystalline Y2InHg at its relaxed geometry (PBE-GGA).

```
Y2InHg
1.0
3.723 0.000 0.000
0.000 5.146 0.000
0.000 0.000 11.127
Y In Hg
4 2 2
Cartesian
0.000 0.000 0.000 Y
0.000 2.573 2.588 Y
1.861 0.000 8.152 Y
1.861 2.573 5.564 Y
0.000 0.000 5.118 In
1.861 2.573 10.681 In
0.000 2.573 8.299 Hg
1.861 0.000 2.736 Hg
```

Computed properties:
Density of states at the Fermi level in states/eV/atom: 0.941
ΔE_f in meV per atom: -422
Symmetry: Imm2
E_tot in eV/cell: -35.31
V in Å³/cell: 213.17